(1)
{"formula": "Zr7Sb3H2", "functional": "GGA-PBE", "state": "optimized geometry", "final_energy_ev_per_cell": -85.35, "lattice_angstrom": [[-3.358, -2.789, -0.968], [2.234, -1.554, -3.269], [6.426, -6.799, 7.624]], "species": ["Zr", "Zr", "Zr", "Zr", "Zr", "Zr", "Zr", "H", "H", "Sb", "Sb", "Sb"], "frac_coords": [[0.000, 0.000, 0.000], [0.099, 0.500, 0.197], [0.597, 0.000, 0.193], [0.796, 0.000, 0.593], [0.403, 0.000, 0.807], [0.204, 0.000, 0.407], [0.901, 0.500, 0.803], [0.907, 0.000, 0.815], [0.093, 0.000, 0.185], [0.500, 0.500, 0.000], [0.311, 0.500, 0.621], [0.689, 0.500, 0.379]]}

=====

(2)
{"formula": "InBr2F", "functional": "GGA-PBE", "state": "optimized geometry", "final_energy_ev_per_cell": -25.73, "e_form_raw_kj_per_mol_atoms": -118.4, "e_above_lowest_polymorph_mev_per_atom": 153, "lattice_angstrom": [[-9.062, 0.060, -4.161], [0.757, -9.780, -1.791], [-5.034, -5.279, -1.062]], "species": ["Br", "Br", "Br", "Br", "F", "F", "In", "In"], "frac_coords": [[0.778, 0.125, 0.250], [0.972, 0.625, 0.250], [0.875, 0.028, 0.750], [0.375, 0.222, 0.750], [0.500, 0.500, 0.000], [0.250, 0.750, 0.500], [0.000, 0.000, 0.000], [0.750, 0.250, 0.500]]}

=====

(3)
{"formula": "TcAsIr2Pb", "functional": "GGA-PBE", "state": "optimized geometry", "formation_energy_mev_per_atom": 944, "final_energy_ev_per_cell": -31.73, "lattice_angstrom": [[4.830, 0.000, 0.000], [0.000, 4.717, 0.000], [0.000, 0.000, 4.830]], "species": ["Ir", "Ir", "As", "Pb", "Tc"], "frac_coords": [[0.500, 0.000, 0.000], [0.000, 0.000, 0.500], [0.000, 0.500, 0.000], [0.500, 0.500, 0.500], [0.000, 0.000, 0.000]]}

=====

Question: Which formula does entry 3 have?
Answer: TcAsIr2Pb